(1)
! PBE SrMgGePd, relaxed; values from VASP
! Energy above the lowest structure with this stoichiometry: 0.000 eV per atom
! Symmetry: No. 216
&SYSTEM
  ibrav = 0, nat = 4, ntyp = 4
/
ATOMIC_SPECIES
Ge 72.64 Ge.upf
Mg 24.30 Mg.upf
Pd 106.42 Pd.upf
Sr 87.62 Sr.upf
CELL_PARAMETERS angstrom
-2.7996 -2.8473 3.0373
-4.6500 1.4432 1.2102
-3.9545 -2.4854 -1.8315
ATOMIC_POSITIONS crystal
Ge 0.0000 0.0000 0.0000
Mg 0.7500 0.7500 0.7500
Pd 0.5000 0.5000 0.5000
Sr 0.2500 0.2500 0.2500



(2)
! PBE SrMgGePd, relaxed; values from VASP
! Energy above the lowest structure with this stoichiometry: 0.046 eV per atom
! Symmetry: No. 216
&SYSTEM
  ibrav = 0, nat = 4, ntyp = 4
/
ATOMIC_SPECIES
Ge 72.64 Ge.upf
Mg 24.30 Mg.upf
Pd 106.42 Pd.upf
Sr 87.62 Sr.upf
CELL_PARAMETERS angstrom
0.0000 3.4627 3.4627
3.4627 0.0000 3.4627
3.4627 3.4627 0.0000
ATOMIC_POSITIONS crystal
Ge 0.2500 0.2500 0.2500
Mg 0.7500 0.7500 0.7500
Pd 0.5000 0.5000 0.5000
Sr 0.0000 0.0000 0.0000



(3)
! PBE SrMgGe2Pd, relaxed; values from VASP
! Symmetry: No. 119
! E_tot: -20.67 eV for the cell shown
&SYSTEM
  ibrav = 0, nat = 5, ntyp = 4
/
ATOMIC_SPECIES
Ge 72.64 Ge.upf
Mg 24.30 Mg.upf
Pd 106.42 Pd.upf
Sr 87.62 Sr.upf
CELL_PARAMETERS angstrom
2.9189 -4.6567 -3.2604
4.8642 -3.3620 2.4230
-5.8766 1.9630 1.5643
ATOMIC_POSITIONS crystal
Ge 0.3870 0.3870 0.0000
Ge 0.6130 0.6130 0.0000
Mg 0.2500 0.7500 0.5000
Pd 0.7500 0.2500 0.5000
Sr 0.0000 0.0000 0.0000



(4)
! PBE PmMgGe, relaxed; values from VASP
! Energy above the lowest structure with this stoichiometry: 0.000 eV per atom
! Symmetry: No. 129
&SYSTEM
  ibrav = 0, nat = 6, ntyp = 3
/
ATOMIC_SPECIES
Ge 72.64 Ge.upf
Mg 24.30 Mg.upf
Pm 145.00 Pm.upf
CELL_PARAMETERS angstrom
4.2867 0.0000 0.0000
0.0000 4.2867 0.0000
0.0000 0.0000 7.6550
ATOMIC_POSITIONS crystal
Ge 0.0000 0.5000 0.2584
Ge 0.5000 0.0000 0.7416
Mg 0.0000 0.0000 0.5000
Mg 0.5000 0.5000 0.5000
Pm 0.5000 0.0000 0.1471
Pm 0.0000 0.5000 0.8529



(5)
! PBE Pr4Mg7Ge6, relaxed; values from VASP
! Symmetry: No. 12
! E_tot: -67.23 eV for the cell shown
&SYSTEM
  ibrav = 0, nat = 17, ntyp = 3
/
ATOMIC_SPECIES
Ge 72.64 Ge.upf
Mg 24.30 Mg.upf
Pr 140.91 Pr.upf
CELL_PARAMETERS angstrom
0.1861 -4.2345 1.3539
-2.1500 4.5100 7.0893
-10.0060 0.4474 -4.5370
ATOMIC_POSITIONS crystal
Ge 0.8754 0.7260 0.0247
Ge 0.7027 0.0945 0.3109
Ge 0.4687 0.5888 0.3486
Ge 0.5313 0.4112 0.6514
Ge 0.2973 0.9055 0.6891
Ge 0.1246 0.2740 0.9753
Mg 0.0989 0.0593 0.1385
Mg 0.4644 0.7750 0.1538
Mg 0.3341 0.2722 0.3960
Mg 0.0000 0.5000 0.5000
Mg 0.6659 0.7278 0.6040
Mg 0.5356 0.2250 0.8462
Mg 0.9011 0.9407 0.8615
Pr 0.7902 0.4196 0.1608
Pr 0.1202 0.8536 0.3869
Pr 0.8798 0.1464 0.6131
Pr 0.2098 0.5804 0.8392



(6)
! PBE PrMgGe, relaxed; values from VASP
! Symmetry: No. 216
! E_tot: -11.35 eV for the cell shown
&SYSTEM
  ibrav = 0, nat = 3, ntyp = 3
/
ATOMIC_SPECIES
Ge 72.64 Ge.upf
Mg 24.30 Mg.upf
Pr 140.91 Pr.upf
CELL_PARAMETERS angstrom
0.0000 3.3629 3.3629
3.3629 0.0000 3.3629
3.3629 3.3629 0.0000
ATOMIC_POSITIONS crystal
Ge 0.2500 0.2500 0.2500
Mg 0.0000 0.0000 0.0000
Pr 0.7500 0.7500 0.7500



(7)
! PBE PrMgGe, relaxed; values from VASP
! Symmetry: No. 216
! E_tot: -10.89 eV for the cell shown
&SYSTEM
  ibrav = 0, nat = 3, ntyp = 3
/
ATOMIC_SPECIES
Ge 72.64 Ge.upf
Mg 24.30 Mg.upf
Pr 140.91 Pr.upf
CELL_PARAMETERS angstrom
0.0000 3.5280 3.5280
3.5280 0.0000 3.5280
3.5280 3.5280 0.0000
ATOMIC_POSITIONS crystal
Ge 0.2500 0.2500 0.2500
Mg 0.7500 0.7500 0.7500
Pr 0.0000 0.0000 0.0000



(8)
! PBE Mg2Ge2Pt3, relaxed; values from VASP
! Symmetry: No. 160
! E_tot: -34.68 eV for the cell shown
&SYSTEM
  ibrav = 0, nat = 7, ntyp = 3
/
ATOMIC_SPECIES
Ge 72.64 Ge.upf
Mg 24.30 Mg.upf
Pt 195.08 Pt.upf
CELL_PARAMETERS angstrom
-6.1792 3.0582 3.0582
-3.0582 3.0582 6.1792
-3.0582 6.1792 3.0582
ATOMIC_POSITIONS crystal
Ge 0.0039 0.0039 0.0039
Ge 0.4973 0.4973 0.4973
Mg 0.2419 0.2419 0.2419
Mg 0.7552 0.7552 0.7552
Pt 0.3737 0.3737 0.3737
Pt 0.6254 0.6254 0.6254
Pt 0.8776 0.8776 0.8776



(9)
! PBE Mg2GePt, relaxed; values from VASP
! Symmetry: No. 216
! E_tot: -15.28 eV for the cell shown
&SYSTEM
  ibrav = 0, nat = 4, ntyp = 3
/
ATOMIC_SPECIES
Ge 72.64 Ge.upf
Mg 24.30 Mg.upf
Pt 195.08 Pt.upf
CELL_PARAMETERS angstrom
0.0000 3.2279 3.2279
3.2279 0.0000 3.2279
3.2279 3.2279 0.0000
ATOMIC_POSITIONS crystal
Ge 0.5000 0.5000 0.5000
Mg 0.0000 0.0000 0.0000
Mg 0.7500 0.7500 0.7500
Pt 0.2500 0.2500 0.2500



(10)
! PBE MgGePt2, relaxed; values from VASP
! Symmetry: No. 216
! E_tot: -19.64 eV for the cell shown
&SYSTEM
  ibrav = 0, nat = 4, ntyp = 3
/
ATOMIC_SPECIES
Ge 72.64 Ge.upf
Mg 24.30 Mg.upf
Pt 195.08 Pt.upf
CELL_PARAMETERS angstrom
0.0000 3.1976 3.1976
3.1976 0.0000 3.1976
3.1976 3.1976 0.0000
ATOMIC_POSITIONS crystal
Ge 0.5000 0.5000 0.5000
Mg 0.2500 0.2500 0.2500
Pt 0.0000 0.0000 0.0000
Pt 0.7500 0.7500 0.7500



(11)
! PBE MgTcGeSb, relaxed; values from VASP
! Energy above the lowest structure with this stoichiometry: 0.000 eV per atom
! Symmetry: No. 216
&SYSTEM
  ibrav = 0, nat = 4, ntyp = 4
/
ATOMIC_SPECIES
Ge 72.64 Ge.upf
Mg 24.30 Mg.upf
Sb 121.76 Sb.upf
Tc 98.00 Tc.upf
CELL_PARAMETERS angstrom
0.0000 3.2892 3.2892
3.2892 0.0000 3.2892
3.2892 3.2892 0.0000
ATOMIC_POSITIONS crystal
Ge 0.5000 0.5000 0.5000
Mg 0.7500 0.7500 0.7500
Sb 0.0000 0.0000 0.0000
Tc 0.2500 0.2500 0.2500



(12)
! PBE Mg2Zn2SiGe, relaxed; values from VASP
! Symmetry: No. 6
! E_tot: -63.02 eV for the cell shown
&SYSTEM
  ibrav = 0, nat = 24, ntyp = 4
/
ATOMIC_SPECIES
Ge 72.64 Ge.upf
Mg 24.30 Mg.upf
Si 28.09 Si.upf
Zn 65.41 Zn.upf
CELL_PARAMETERS angstrom
-5.8601 -7.8049 -3.9102
2.7334 -2.8759 1.6439
-3.3516 2.3505 9.6849
ATOMIC_POSITIONS crystal
Ge 0.8732 0.5000 0.3735
Ge 0.6242 0.5000 0.6248
Ge 0.0006 0.0000 0.7508
Ge 0.3764 0.5000 0.8744
Mg 0.6194 0.5000 0.1244
Mg 0.9988 0.0000 0.2551
Mg 0.3754 0.5000 0.3750
Mg 0.7466 0.0000 0.4964
Mg 0.1247 0.5000 0.6221
Mg 0.5057 0.0000 0.7519
Mg 0.8816 0.5000 0.8797
Mg 0.2496 0.0000 0.9977
Si 0.7520 0.0000 0.0010
Si 0.1255 0.5000 0.1268
Si 0.4975 0.0000 0.2488
Si 0.2495 0.0000 0.4985
Zn 0.0022 0.0000 0.0079
Zn 0.3714 0.5000 0.1271
Zn 0.7438 0.0000 0.2438
Zn 0.1284 0.5000 0.3737
Zn 0.4950 0.0000 0.4963
Zn 0.8741 0.5000 0.6253
Zn 0.2520 0.0000 0.7448
Zn 0.6325 0.5000 0.8803



(13)
! PBE SmMgGe, relaxed; values from VASP
! Symmetry: No. 216
! E_tot: -10.86 eV for the cell shown
&SYSTEM
  ibrav = 0, nat = 3, ntyp = 3
/
ATOMIC_SPECIES
Ge 72.64 Ge.upf
Mg 24.30 Mg.upf
Sm 150.36 Sm.upf
CELL_PARAMETERS angstrom
-0.0500 3.3814 3.5601
0.9298 4.7020 -1.0667
-3.6134 3.3198 0.1823
ATOMIC_POSITIONS crystal
Ge 0.2500 0.2500 0.2500
Mg 0.7500 0.7500 0.7500
Sm 0.0000 0.0000 0.0000



(14)
! PBE Mg2Zn2SnGe, relaxed; values from VASP
! Symmetry: No. 6
! E_tot: -58.73 eV for the cell shown
&SYSTEM
  ibrav = 0, nat = 24, ntyp = 4
/
ATOMIC_SPECIES
Ge 72.64 Ge.upf
Mg 24.30 Mg.upf
Sn 118.71 Sn.upf
Zn 65.41 Zn.upf
CELL_PARAMETERS angstrom
10.8926 0.0000 0.0000
0.0000 4.4687 0.0000
-3.6363 0.0000 10.2722
ATOMIC_POSITIONS crystal
Ge 0.9985 0.0000 0.2469
Ge 0.7517 0.0000 0.5032
Ge 0.5043 0.0000 0.7516
Ge 0.8720 0.5000 0.8737
Mg 0.1140 0.5000 0.1190
Mg 0.5076 0.0000 0.2576
Mg 0.8738 0.5000 0.3804
Mg 0.2478 0.0000 0.4938
Mg 0.6273 0.5000 0.6275
Mg 0.9932 0.0000 0.7495
Mg 0.3817 0.5000 0.8717
Mg 0.7468 0.0000 0.9966
Sn 0.6287 0.5000 0.1266
Sn 0.3761 0.5000 0.3781
Sn 0.1242 0.5000 0.6236
Sn 0.2476 0.0000 0.9986
Zn 0.3742 0.5000 0.1255
Zn 0.7603 0.0000 0.2571
Zn 0.1163 0.5000 0.3655
Zn 0.5076 0.0000 0.5100
Zn 0.8703 0.5000 0.6279
Zn 0.2570 0.0000 0.7477
Zn 0.6284 0.5000 0.8706
Zn 0.9903 0.0000 0.9975



(15)
! PBE SrMgZn2Ge, relaxed; values from VASP
! Symmetry: No. 107
! E_tot: -11.68 eV for the cell shown
&SYSTEM
  ibrav = 0, nat = 5, ntyp = 4
/
ATOMIC_SPECIES
Ge 72.64 Ge.upf
Mg 24.30 Mg.upf
Sr 87.62 Sr.upf
Zn 65.41 Zn.upf
CELL_PARAMETERS angstrom
0.7701 -6.5683 0.6105
-0.0905 -3.3104 5.7568
-3.3800 4.5581 -3.4507
ATOMIC_POSITIONS crystal
Ge 0.3833 0.3833 0.0000
Mg 0.6149 0.6149 0.0000
Sr 0.9885 0.9885 0.0000
Zn 0.7566 0.2566 0.5000
Zn 0.2566 0.7566 0.5000



(16)
! PBE SrMg2ZnGe, relaxed; values from VASP
! Symmetry: No. 107
! E_tot: -12.48 eV for the cell shown
&SYSTEM
  ibrav = 0, nat = 5, ntyp = 4
/
ATOMIC_SPECIES
Ge 72.64 Ge.upf
Mg 24.30 Mg.upf
Sr 87.62 Sr.upf
Zn 65.41 Zn.upf
CELL_PARAMETERS angstrom
3.9968 1.8666 5.1135
-0.1923 6.0644 2.9651
-4.0354 -5.0401 -1.9797
ATOMIC_POSITIONS crystal
Ge 0.6068 0.6068 0.0000
Mg 0.7470 0.2470 0.5000
Mg 0.2470 0.7470 0.5000
Sr 0.0044 0.0044 0.0000
Zn 0.3948 0.3948 0.0000



(17)
! PBE MgTaGe, relaxed; values from VASP
! Symmetry: No. 216
! E_tot: -15.94 eV for the cell shown
&SYSTEM
  ibrav = 0, nat = 3, ntyp = 3
/
ATOMIC_SPECIES
Ge 72.64 Ge.upf
Mg 24.30 Mg.upf
Ta 180.95 Ta.upf
CELL_PARAMETERS angstrom
0.0000 3.1710 3.1710
3.1710 0.0000 3.1710
3.1710 3.1710 0.0000
ATOMIC_POSITIONS crystal
Ge 0.2500 0.2500 0.2500
Mg 0.7500 0.7500 0.7500
Ta 0.0000 0.0000 0.0000



(18)
! PBE MgTa2Ge, relaxed; values from VASP
! Symmetry: No. 216
! E_tot: -28.66 eV for the cell shown
&SYSTEM
  ibrav = 0, nat = 4, ntyp = 3
/
ATOMIC_SPECIES
Ge 72.64 Ge.upf
Mg 24.30 Mg.upf
Ta 180.95 Ta.upf
CELL_PARAMETERS angstrom
0.0000 3.2711 3.2711
3.2711 0.0000 3.2711
3.2711 3.2711 0.0000
ATOMIC_POSITIONS crystal
Ge 0.5000 0.5000 0.5000
Mg 0.2500 0.2500 0.2500
Ta 0.0000 0.0000 0.0000
Ta 0.7500 0.7500 0.7500



(19)
! PBE Mg2TaGe, relaxed; values from VASP
! Symmetry: No. 216
! E_tot: -18.09 eV for the cell shown
&SYSTEM
  ibrav = 0, nat = 4, ntyp = 3
/
ATOMIC_SPECIES
Ge 72.64 Ge.upf
Mg 24.30 Mg.upf
Ta 180.95 Ta.upf
CELL_PARAMETERS angstrom
1.4411 -4.3981 -0.7998
-3.0238 -3.2019 -1.6321
0.3993 -1.5757 -4.4065
ATOMIC_POSITIONS crystal
Ge 0.5000 0.5000 0.5000
Mg 0.0000 0.0000 0.0000
Mg 0.7500 0.7500 0.7500
Ta 0.2500 0.2500 0.2500



(20)
! PBE MgTaGe, relaxed; values from VASP
! Symmetry: No. 216
! E_tot: -16.82 eV for the cell shown
&SYSTEM
  ibrav = 0, nat = 3, ntyp = 3
/
ATOMIC_SPECIES
Ge 72.64 Ge.upf
Mg 24.30 Mg.upf
Ta 180.95 Ta.upf
CELL_PARAMETERS angstrom
-4.0723 -1.3712 0.8489
-3.1390 0.4570 -3.0204
-1.5958 -3.5259 -2.0509
ATOMIC_POSITIONS crystal
Ge 0.0000 0.0000 0.0000
Mg 0.2500 0.2500 0.2500
Ta 0.7500 0.7500 0.7500